Record 1
Pt4I: relaxed, PBE-GGA.

a = 4.890 Å, b = 4.890 Å, c = 4.890 Å
α = 90.00°, β = 90.00°, γ = 90.00°
Fractional coordinates of all 5 atoms:
Pt (0.500, 0.000, 0.500)
Pt (0.000, 0.500, 0.500)
Pt (0.000, 0.000, 0.000)
Pt (0.500, 0.500, 0.000)
I (0.500, 0.500, 0.500)

## Properties
final energy: -3.7018 eV/atom
DOS(E_F): 5.7 states/eV/f.u.
symmetry: Pm-3m


Record 2
Er4Tm: relaxed, PBE-GGA.

a = 4.420 Å, b = 4.420 Å, c = 8.859 Å
α = 104.44°, β = 104.44°, γ = 90.02°
Fractional coordinates of all 5 atoms:
Er (0.094, 0.594, 0.688)
Er (0.906, 0.406, 0.312)
Er (0.250, 0.250, 0.000)
Er (0.750, 0.750, 0.000)
Tm (0.500, 0.000, 0.500)

## Properties
offset from the most stable computed form: 357 meV per atom
energy of formation: 0.383 eV per atom
DOS(E_F): 7.7 states/eV/f.u.
symmetry: I4/mmm


Record 3
CaTlAsF6: relaxed, PBE-GGA.

a = 5.956 Å, b = 5.956 Å, c = 5.775 Å
α = 90.05°, β = 89.94°, γ = 59.59°
Fractional coordinates of all 9 atoms:
Ca (0.666, 0.666, 0.500)
F (0.023, 0.610, 0.698)
F (0.612, 0.365, 0.699)
F (0.029, 0.363, 0.304)
F (0.610, 0.023, 0.302)
F (0.363, 0.029, 0.696)
F (0.365, 0.612, 0.301)
As (0.334, 0.334, 0.500)
Tl (0.999, 0.999, 0.000)

## Properties
final energy: -4.8536 eV/atom
DOS(E_F): 0.0 states/eV/f.u.
symmetry: C2


Record 4
LaPr2Sm2: relaxed, PBE-GGA.

a = 6.429 Å, b = 6.429 Å, c = 9.793 Å
α = 112.08°, β = 98.93°, γ = 101.00°
Fractional coordinates of all 10 atoms:
Pr (0.215, 0.799, 0.352)
Pr (0.447, 0.363, 0.148)
Pr (0.785, 0.201, 0.648)
Pr (0.553, 0.637, 0.852)
La (0.279, 0.029, 0.750)
La (0.721, 0.971, 0.250)
Sm (0.772, 0.624, 0.523)
Sm (0.101, 0.749, 0.977)
Sm (0.228, 0.376, 0.477)
Sm (0.899, 0.251, 0.023)

## Properties
offset from the most stable computed form: 78 meV per atom
energy of formation: 0.115 eV per atom
DOS(E_F): 7.0 states/eV/f.u.
symmetry: C2/c


Record 5
NaZn3In: relaxed, PBE-GGA.

a = 5.251 Å, b = 5.251 Å, c = 5.251 Å
α = 90.00°, β = 90.00°, γ = 90.00°
Fractional coordinates of all 5 atoms:
Zn (0.000, 0.000, 0.500)
Zn (0.500, 0.000, 0.000)
Zn (0.000, 0.500, 0.000)
Na (0.500, 0.500, 0.500)
In (0.000, 0.000, 0.000)

## Properties
offset from the most stable computed form: 0 meV per atom
energy of formation: 0.345 eV per atom
DOS(E_F): 2.3 states/eV/f.u.
symmetry: Pm-3m


Record 6
Nd2PPt: relaxed, PBE-GGA.

a = 4.105 Å, b = 4.105 Å, c = 7.554 Å
α = 74.23°, β = 74.23°, γ = 60.00°
Fractional coordinates of all 4 atoms:
Pt (0.500, 0.500, 0.499)
P (0.666, 0.666, 0.003)
Nd (0.080, 0.080, 0.761)
Nd (0.255, 0.255, 0.236)

## Properties
offset from the most stable computed form: 30 meV per atom
energy of formation: -1.162 eV per atom
DOS(E_F): 3.3 states/eV/f.u.
symmetry: R3m


Record 7
La2Sm8Tl: relaxed, PBE-GGA.

a = 5.607 Å, b = 7.723 Å, c = 9.999 Å
α = 112.72°, β = 106.28°, γ = 90.00°
Fractional coordinates of all 11 atoms:
Sm (0.636, 0.866, 0.272)
Sm (0.636, 0.406, 0.272)
Sm (0.364, 0.594, 0.728)
Sm (0.177, 0.177, 0.354)
Sm (0.364, 0.134, 0.728)
Sm (0.000, 0.258, 0.000)
Sm (0.000, 0.742, 0.000)
Sm (0.823, 0.823, 0.646)
La (0.192, 0.692, 0.385)
La (0.808, 0.308, 0.615)
Tl (0.500, 0.000, 0.000)

## Properties
offset from the most stable computed form: 64 meV per atom
energy of formation: 0.032 eV per atom
DOS(E_F): 15.4 states/eV/f.u.
symmetry: Immm


Record 8
LaTlSi2: relaxed, PBE-GGA.

a = 3.819 Å, b = 3.819 Å, c = 6.505 Å
α = 90.00°, β = 90.00°, γ = 90.00°
Fractional coordinates of all 4 atoms:
Si (0.000, 0.000, 0.443)
Si (0.000, 0.000, 0.057)
La (0.500, 0.500, 0.750)
Tl (0.500, 0.500, 0.250)

## Properties
offset from the most stable computed form: 216 meV per atom
DOS(E_F): 2.2 states/eV/f.u.
symmetry: P4/mmm


Record 9
AlZnC3: relaxed, PBE-GGA.

a = 3.938 Å, b = 3.938 Å, c = 3.938 Å
α = 90.00°, β = 90.00°, γ = 90.00°
Fractional coordinates of all 5 atoms:
C (0.000, 0.500, 0.000)
C (0.500, 0.000, 0.000)
C (0.000, 0.000, 0.500)
Al (0.000, 0.000, 0.000)
Zn (0.500, 0.500, 0.500)

## Properties
offset from the most stable computed form: 0 meV per atom
energy of formation: 2.287 eV per atom
DOS(E_F): 3.0 states/eV/f.u.
symmetry: Pm-3m


Record 10
Tb8Nd6Cd: relaxed, PBE-GGA.

a = 6.363 Å, b = 9.526 Å, c = 9.526 Å
α = 120.00°, β = 90.00°, γ = 90.00°
Fractional coordinates of all 15 atoms:
Tb (0.191, 0.779, 0.041)
Tb (0.809, 0.221, 0.959)
Tb (0.823, 0.333, 0.667)
Tb (0.191, 0.959, 0.738)
Tb (0.191, 0.262, 0.221)
Tb (0.177, 0.667, 0.333)
Tb (0.809, 0.041, 0.262)
Tb (0.809, 0.738, 0.779)
Cd (0.500, 0.000, 0.000)
Nd (0.687, 0.638, 0.091)
Nd (0.687, 0.909, 0.547)
Nd (0.313, 0.091, 0.453)
Nd (0.687, 0.453, 0.362)
Nd (0.313, 0.362, 0.909)
Nd (0.313, 0.547, 0.638)

## Properties
energy of formation: 0.079 eV per atom
DOS(E_F): 17.5 states/eV/f.u.
symmetry: P-3


Record 11
Pr2Te3H4: relaxed, PBE-GGA.

a = 3.974 Å, b = 6.433 Å, c = 8.305 Å
α = 64.78°, β = 76.17°, γ = 72.00°
Fractional coordinates of all 9 atoms:
Pr (0.282, 0.669, 0.768)
Pr (0.718, 0.331, 0.232)
Te (0.574, 0.159, 0.693)
Te (0.000, 0.000, 0.000)
Te (0.426, 0.841, 0.307)
H (0.268, 0.407, 0.056)
H (0.137, 0.358, 0.368)
H (0.732, 0.593, 0.944)
H (0.863, 0.642, 0.632)

## Properties
final energy: -4.0871 eV/atom
DOS(E_F): 0.1 states/eV/f.u.
symmetry: C2/m


Record 12
K3ErSb2O6: relaxed, PBE-GGA.

a = 6.103 Å, b = 6.103 Å, c = 7.186 Å
α = 90.00°, β = 90.00°, γ = 120.00°
Fractional coordinates of all 12 atoms:
O (0.829, 0.171, 0.687)
O (0.171, 0.342, 0.313)
O (0.658, 0.829, 0.313)
O (0.171, 0.829, 0.313)
O (0.829, 0.658, 0.687)
O (0.342, 0.171, 0.687)
K (0.667, 0.333, 0.352)
K (0.333, 0.667, 0.648)
K (0.000, 0.000, 0.000)
Er (0.000, 0.000, 0.500)
Sb (0.333, 0.667, 0.182)
Sb (0.667, 0.333, 0.818)

## Properties
final energy: -5.8327 eV/atom
DOS(E_F): 0.0 states/eV/f.u.
symmetry: P-3m1


no.,spin magnetization (μB per formula unit),ρ (g cm⁻³)
1,0.000,12.89
2,0.284,8.59
3,0.000,4.07
4,0.000,6.72
5,0.000,3.83
6,0.000,8.16
7,0.000,7.35
8,0.000,6.99
9,0.000,3.49
10,0.000,7.47
11,0.000,6.13
12,0.000,4.47